Cd2AgP: optimized geometry, PBE-GGA.

Summary:
E_form (eV/atom): 0.22
D(E_F) (states/eV/f.u.): 0.48
Final energy (eV for the cell shown): -27.7

Cell lengths 3.0592, 3.0592, 28.5974 Å; angles 90.00, 90.00, 120.00 degrees
Closest atoms and distances in Å follow each position.
Space group R-3m (No. 166, hexagonal axes)
Unique sites:
Cd: 0.0000 0.0000 0.2503  3 P 2.96, 3 Ag 2.97, 6 Cd 3.06
Ag: 0.0000 0.0000 0.5000  6 Cd 2.97, 6 Ag 3.06
P: 0.0000 0.0000 0.0000  6 Cd 2.96, 6 P 3.06